Record 1
# GGA-PBE CdPdCl, optimized geometry
# formation energy (no corrections): -0.217 eV/atom
# DOS(E_F): 0.69 states/eV/f.u.
data_CdPdCl
_cell_length_a 11.965
_cell_length_b 3.341
_cell_length_c 6.013
_cell_angle_alpha 90.00
_cell_angle_beta 90.00
_cell_angle_gamma 90.00
_symmetry_space_group_name_H-M 'A m m 2'
_symmetry_Int_Tables_number 38
loop_
_symmetry_equiv_pos_as_xyz
'x,y,z'
'-x,-y,z'
'-x,y,z'
'x,-y,z'
'x,y+1/2,z+1/2'
'-x,-y+1/2,z+1/2'
'-x,y+1/2,z+1/2'
'x,-y+1/2,z+1/2'
loop_
_atom_site_label
_atom_site_type_symbol
_atom_site_fract_x
_atom_site_fract_y
_atom_site_fract_z
Cd1 Cd 0.000 0.000 0.000
Cd2 Cd 0.500 0.000 0.105
Pd1 Pd 0.164 0.000 0.329
Cl1 Cl 0.339 0.000 0.781

Record 2
# GGA-PBE Te2IrPbN, optimized geometry
# E above lowest polymorph: 1710 meV per atom
# formation energy (no corrections): 1.880 eV/atom
# DOS(E_F): 9.39 states/eV/f.u.
data_Te2IrPbN
_cell_length_a 5.734
_cell_length_b 5.734
_cell_length_c 4.029
_cell_angle_alpha 90.00
_cell_angle_beta 90.00
_cell_angle_gamma 90.00
_symmetry_space_group_name_H-M 'P 4/m m m'
_symmetry_Int_Tables_number 123
_symmetry_space_group_name_Hall '-P 4 2'
loop_
_atom_site_label
_atom_site_type_symbol
_atom_site_fract_x
_atom_site_fract_y
_atom_site_fract_z
Te1 Te 0.000 0.500 0.000
Ir1 Ir 0.000 0.000 0.500
Pb1 Pb 0.500 0.500 0.000
N1 N 0.500 0.500 0.500

Record 3
# GGA-PBE ZrZn5Co, optimized geometry
# energy of formation: -0.1377 eV per atom
# DOS(E_F): 5.56 states/eV/f.u.
data_ZrZn5Co
_cell_length_a 4.197
_cell_length_b 4.197
_cell_length_c 6.404
_cell_angle_alpha 90.00
_cell_angle_beta 90.00
_cell_angle_gamma 90.00
_symmetry_space_group_name_H-M 'P 4/m m m'
_symmetry_Int_Tables_number 123
_symmetry_space_group_name_Hall '-P 4 2'
loop_
_atom_site_label
_atom_site_type_symbol
_atom_site_fract_x
_atom_site_fract_y
_atom_site_fract_z
Zr1 Zr 0.000 0.000 0.000
Zn1 Zn 0.000 0.500 0.300
Zn2 Zn 0.500 0.500 0.000
Co1 Co 0.000 0.000 0.500

Record 4
# GGA-PBE RbHf2Bi2, optimized geometry
# E above lowest polymorph: 0 meV per atom
# energy of formation: -0.0729 eV per atom
# DOS(E_F): 4.39 states/eV/f.u.
data_RbHf2Bi2
_cell_length_a 4.649
_cell_length_b 4.649
_cell_length_c 15.777
_cell_angle_alpha 90.00
_cell_angle_beta 90.00
_cell_angle_gamma 90.00
_symmetry_space_group_name_H-M 'I 4/m m m'
_symmetry_Int_Tables_number 139
_symmetry_space_group_name_Hall '-I 4 2'
loop_
_atom_site_label
_atom_site_type_symbol
_atom_site_fract_x
_atom_site_fract_y
_atom_site_fract_z
Rb1 Rb 0.000 0.000 0.000
Hf1 Hf 0.000 0.500 0.250
Bi1 Bi 0.000 0.000 0.368

Record 5
# GGA-PBE AlPtBr2, optimized geometry
# E above lowest polymorph: 770 meV per atom
# formation energy (no corrections): 0.286 eV/atom
# DOS(E_F): 2.43 states/eV/f.u.
data_AlPtBr2
_cell_length_a 4.106
_cell_length_b 3.944
_cell_length_c 5.643
_cell_angle_alpha 90.00
_cell_angle_beta 90.71
_cell_angle_gamma 90.00
_symmetry_space_group_name_H-M 'P 1 2/m 1'
_symmetry_Int_Tables_number 10
loop_
_symmetry_equiv_pos_as_xyz
'x,y,z'
'-x,-y,-z'
'-x,y,-z'
'x,-y,z'
loop_
_atom_site_label
_atom_site_type_symbol
_atom_site_fract_x
_atom_site_fract_y
_atom_site_fract_z
Al1 Al 0.000 0.000 0.000
Pt1 Pt 0.500 0.500 0.500
Br1 Br 0.000 0.000 0.500
Br2 Br 0.500 0.500 0.000

Record 6
# GGA-PBE Pm6Tl3Bi, optimized geometry
# energy of formation: -0.2974 eV per atom
# DOS(E_F): 11.28 states/eV/f.u.
data_Pm6Tl3Bi
_cell_length_a 11.930
_cell_length_b 4.023
_cell_length_c 14.190
_cell_angle_alpha 90.00
_cell_angle_beta 107.10
_cell_angle_gamma 90.00
_symmetry_space_group_name_H-M 'P 1 21/m 1'
_symmetry_Int_Tables_number 11
loop_
_symmetry_equiv_pos_as_xyz
'x,y,z'
'-x,-y,-z'
'-x,y+1/2,-z'
'x,-y+1/2,z'
loop_
_atom_site_label
_atom_site_type_symbol
_atom_site_fract_x
_atom_site_fract_y
_atom_site_fract_z
Pm1 Pm 0.000 0.250 0.165
Pm2 Pm 0.109 0.750 0.406
Pm3 Pm 0.236 0.250 0.824
Pm4 Pm 0.321 0.250 0.266
Pm5 Pm 0.354 0.250 0.623
Pm6 Pm 0.381 0.750 0.034
Tl1 Tl 0.114 0.750 0.634
Tl2 Tl 0.159 0.250 0.022
Tl3 Tl 0.393 0.750 0.454
Bi1 Bi 0.447 0.750 0.813

Record 7
# GGA-PBE TlNi2HI, optimized geometry
# energy: -2.995 eV per atom
# DOS(E_F): 4.22 states/eV/f.u.
data_TlNi2HI
_cell_length_a 4.444
_cell_length_b 4.444
_cell_length_c 4.174
_cell_angle_alpha 90.00
_cell_angle_beta 90.00
_cell_angle_gamma 90.00
_symmetry_space_group_name_H-M 'P 4/m m m'
_symmetry_Int_Tables_number 123
_symmetry_space_group_name_Hall '-P 4 2'
loop_
_atom_site_label
_atom_site_type_symbol
_atom_site_fract_x
_atom_site_fract_y
_atom_site_fract_z
Tl1 Tl 0.000 0.000 0.000
Ni1 Ni 0.000 0.500 0.500
H1 H 0.000 0.000 0.500
I1 I 0.500 0.500 0.000

Record 8
# GGA-PBE Sm2MgSe4, optimized geometry
# E above lowest polymorph: 1 meV per atom
# formation energy (no corrections): -1.675 eV/atom
# DOS(E_F): 0.00 states/eV/f.u.
data_Sm2MgSe4
_cell_length_a 14.417
_cell_length_b 8.430
_cell_length_c 6.930
_cell_angle_alpha 90.00
_cell_angle_beta 90.00
_cell_angle_gamma 90.00
_symmetry_space_group_name_H-M 'P n m a'
_symmetry_Int_Tables_number 62
loop_
_symmetry_equiv_pos_as_xyz
'x,y,z'
'-x,-y,-z'
'-x+1/2,-y,z+1/2'
'x+1/2,y,-z+1/2'
'x+1/2,-y+1/2,-z+1/2'
'-x+1/2,y+1/2,z+1/2'
'-x,y+1/2,-z'
'x,-y+1/2,z'
loop_
_atom_site_label
_atom_site_type_symbol
_atom_site_fract_x
_atom_site_fract_y
_atom_site_fract_z
Sm1 Sm 0.000 0.000 0.000
Sm2 Sm 0.233 0.250 0.494
Mg1 Mg 0.094 0.750 0.413
Se1 Se 0.071 0.250 0.745
Se2 Se 0.090 0.750 0.780
Se3 Se 0.170 0.511 0.238

Record 9
# GGA-PBE NbFeB3, optimized geometry
# energy of formation: 0.5210 eV per atom
# DOS(E_F): 4.71 states/eV/f.u.
data_NbFeB3
_cell_length_a 3.709
_cell_length_b 3.709
_cell_length_c 3.709
_cell_angle_alpha 90.00
_cell_angle_beta 90.00
_cell_angle_gamma 90.00
_symmetry_space_group_name_H-M 'P m -3 m'
_symmetry_Int_Tables_number 221
_symmetry_space_group_name_Hall '-P 4 2 3'
loop_
_atom_site_label
_atom_site_type_symbol
_atom_site_fract_x
_atom_site_fract_y
_atom_site_fract_z
Nb1 Nb 0.000 0.000 0.000
Fe1 Fe 0.500 0.500 0.500
B1 B 0.000 0.500 0.500

Record 10
# GGA-PBE NaMn3In, optimized geometry
# E above lowest polymorph: 401 meV per atom
# energy of formation: 1.4732 eV per atom
# DOS(E_F): 5.15 states/eV/f.u.
data_NaMn3In
_cell_length_a 4.745
_cell_length_b 4.745
_cell_length_c 4.745
_cell_angle_alpha 90.00
_cell_angle_beta 90.00
_cell_angle_gamma 90.00
_symmetry_space_group_name_H-M 'P m -3 m'
_symmetry_Int_Tables_number 221
_symmetry_space_group_name_Hall '-P 4 2 3'
loop_
_atom_site_label
_atom_site_type_symbol
_atom_site_fract_x
_atom_site_fract_y
_atom_site_fract_z
Na1 Na 0.000 0.000 0.000
Mn1 Mn 0.000 0.000 0.500
In1 In 0.500 0.500 0.500

Record 11
# GGA-PBE PuInSb2, optimized geometry
# E above lowest polymorph: 225 meV per atom
# formation energy (no corrections): -0.151 eV/atom
# DOS(E_F): 11.94 states/eV/f.u.
data_PuInSb2
_cell_length_a 7.586
_cell_length_b 7.586
_cell_length_c 7.586
_cell_angle_alpha 90.00
_cell_angle_beta 90.00
_cell_angle_gamma 90.00
_symmetry_space_group_name_H-M 'F m -3 m'
_symmetry_Int_Tables_number 225
_symmetry_space_group_name_Hall '-F 4 2 3'
loop_
_atom_site_label
_atom_site_type_symbol
_atom_site_fract_x
_atom_site_fract_y
_atom_site_fract_z
Pu1 Pu 0.000 0.000 0.000
In1 In 0.000 0.000 0.500
Sb1 Sb 0.250 0.250 0.250

Record 12
# GGA-PBE GeTe2S, optimized geometry
# E above lowest polymorph: 0 meV per atom
# formation energy (no corrections): 0.277 eV/atom
# DOS(E_F): 3.03 states/eV/f.u.
data_GeTe2S
_cell_length_a 4.0878
_cell_length_b 4.0878
_cell_length_c 25.2557
_cell_angle_alpha 90.00
_cell_angle_beta 90.00
_cell_angle_gamma 120.00
_symmetry_space_group_name_H-M 'R -3 m'
_symmetry_Int_Tables_number 166
_symmetry_space_group_name_Hall '-R 3 2"'
loop_
_atom_site_label
_atom_site_type_symbol
_atom_site_fract_x
_atom_site_fract_y
_atom_site_fract_z
Ge1 Ge 0.0000 0.0000 0.0000
Te1 Te 0.0000 0.0000 0.4007
S1 S 0.0000 0.0000 0.5000